The following is a PBE calculation of a relaxed RbHAu3 crystal, from the Alexandria database.

```
5
Lattice="6.4750 0.0000 0.0000 0.0000 6.4750 0.0000 0.0000 0.0000 6.4750" Properties=species:S:1:pos:R:3 pbc="T T T"
Rb 0.0000 0.0000 0.0000
H 3.2375 3.2375 3.2375
Au 0.0000 0.0000 3.2375
Au 0.0000 3.2375 0.0000
Au 3.2375 0.0000 0.0000
```

* crystal system: cubic
* electronic total energy: -1.3134 eV per atom
* relative energy among the computed polymorphs: 1138.0 meV per atom

***

The following is a PBE calculation of a relaxed MnIrW2 crystal, from the Alexandria database.

```
4
Lattice="4.5512 -1.3716 0.0000 4.5512 1.3716 0.0000 -0.8179 0.0000 4.7254" Properties=species:S:1:pos:R:3 pbc="T T T"
Mn 0.0000 0.0000 0.0000
Ir 6.5191 0.0000 1.2783
W 1.6392 0.0000 3.7228
W 4.0536 0.0000 2.3098
```

* crystal system: monoclinic
* electronic total energy: -10.9485 eV per atom
* formation energy from the elements: 0.04 eV per atom
* relative energy among the computed polymorphs: 80.0 meV per atom

***

The following is a PBE calculation of a relaxed Zr2CrRu crystal, from the Alexandria database.

```
8
Lattice="-3.6293 3.6293 2.9469 3.6293 -3.6293 2.9469 3.6293 3.6293 -2.9469" Properties=species:S:1:pos:R:3 pbc="T T T"
Zr 5.4439 1.6621 -0.7367
Zr 1.6621 1.8146 0.7367
Zr -1.8146 1.9672 2.2102
Zr 1.9672 1.8146 3.6836
Cr 3.6293 0.0000 1.4735
Cr 0.0000 0.0000 2.9469
Ru 0.0000 0.0000 0.0000
Ru 0.0000 3.6293 1.4735
```

* crystal system: tetragonal
* electronic total energy: -8.6673 eV per atom
* formation energy from the elements: 0.33 eV per atom

***

The following is a PBE calculation of a relaxed ZrCrTe2 crystal, from the Alexandria database.

```
8
Lattice="-3.3114 3.3114 6.1382 3.3114 -3.3114 6.1382 3.3114 3.3114 -6.1382" Properties=species:S:1:pos:R:3 pbc="T T T"
Zr 0.0000 0.0000 0.0000
Zr 0.0000 3.3114 3.0691
Cr 3.3114 0.0000 3.0691
Cr 0.0000 0.0000 6.1382
Te 1.6557 -1.5761 4.6036
Te 1.7354 1.6557 1.5345
Te 1.6557 4.8875 -1.5345
Te 1.5761 1.6557 7.6727
```

* crystal system: tetragonal
* electronic total energy: -6.1556 eV per atom
* energy relative to the elements, uncorrected: -0.042 eV per atom
* relative energy among the computed polymorphs: 381.4 meV per atom

***

The following is a PBE calculation of a relaxed La6Te3Se2S crystal, from the Alexandria database.

```
12
Lattice="3.8091 -6.5997 0.0000 3.8091 6.5997 0.0000 -2.5412 0.0000 7.3157" Properties=species:S:1:pos:R:3 pbc="T T T"
La 1.2303 2.1350 1.5892
La -0.0799 0.0000 5.7057
La 1.2303 -2.1350 1.5892
La 3.8466 2.1350 5.7265
La 5.1569 0.0000 1.6100
La 3.8466 -2.1350 5.7265
Te 2.5385 4.3537 3.6579
Te 2.5385 0.0000 3.6579
Te 2.5385 -4.3537 3.6579
Se 3.8091 2.1915 0.0000
Se 3.8091 -2.1915 0.0000
S 0.0000 0.0000 0.0000
```

* crystal system: monoclinic
* electronic total energy: -6.0003 eV per atom
* energy relative to the elements, uncorrected: -1.826 eV per atom

***

The following is a PBE calculation of a relaxed K4LaPr3Te8 crystal, from the Alexandria database.

```
16
Lattice="4.6643 2.6930 8.2534 -4.6643 2.6930 8.2534 0.0000 -5.3859 8.2534" Properties=species:S:1:pos:R:3 pbc="T T T"
K 0.0000 0.0000 0.0000
K -2.3322 -1.3465 8.2534
K -2.3322 1.3465 16.5069
K 0.0000 2.6929 8.2534
La 0.0000 0.0000 12.3802
Pr -4.6643 0.0000 12.3802
Pr -2.3322 1.3465 4.1267
Pr 2.3322 1.3465 4.1267
Te -2.3443 -1.3535 14.1650
Te 0.0000 0.0000 5.9089
Te 0.0000 -2.7070 10.5953
Te -2.3443 1.3535 10.5953
Te 2.3443 -1.3535 14.1650
Te 0.0000 2.7070 14.1650
Te 0.0000 0.0000 18.8514
Te 2.3443 1.3535 10.5953
```

* crystal system: trigonal
* electronic total energy: -4.4892 eV per atom
* energy relative to the elements, uncorrected: -1.440 eV per atom

***

The following is a PBE calculation of a relaxed Rb5Tl3Cd12 crystal, from the Alexandria database.

```
80
Lattice="-10.0002 10.0002 10.0002 10.0002 -10.0002 10.0002 10.0002 10.0002 -10.0002" Properties=species:S:1:pos:R:3 pbc="T T T"
Rb 0.0000 0.0000 0.0000
Rb 5.0001 5.0001 -5.0001
Rb 5.0001 -5.0001 5.0001
Rb 10.0002 0.0000 0.0000
Rb 15.0003 2.5001 0.0000
Rb 10.0002 -5.0001 7.5002
Rb 7.5002 10.0002 -5.0001
Rb 7.5002 0.0000 5.0001
Rb 5.0001 7.5002 0.0000
Rb 10.0002 5.0001 2.5001
Rb -5.0001 5.0001 5.0001
Rb 0.0000 10.0002 0.0000
Rb 0.0000 0.0000 10.0002
Rb 5.0001 5.0001 5.0001
Rb 0.0000 5.0001 7.5002
Rb 5.0001 2.5001 10.0002
Rb 2.5001 10.0002 5.0001
Rb 2.5001 0.0000 15.0003
Rb 0.0000 15.0003 2.5001
Rb -5.0001 7.5002 10.0002
Tl 5.0001 2.5001 0.0000
Tl 10.0002 5.0001 -2.5001
Tl 2.5001 0.0000 5.0001
Tl 12.5003 0.0000 5.0001
Tl 0.0000 5.0001 2.5001
Tl 5.0001 -2.5001 10.0002
Tl 5.0001 12.5003 0.0000
Tl 10.0002 5.0001 7.5002
Tl -2.5001 10.0002 5.0001
Tl 7.5002 10.0002 5.0001
Tl 0.0000 5.0001 12.5003
Tl 5.0001 7.5002 10.0002
Cd 10.3405 -1.7170 2.9592
Cd 14.6601 -2.0409 3.2831
Cd 12.9595 -0.3402 1.7170
Cd 12.0411 -3.2831 4.6599
Cd 2.9592 0.3402 1.7170
Cd 12.0411 6.7171 -4.6599
Cd 6.7171 4.6599 -2.0409
Cd 8.2832 2.9592 -0.3402
Cd 1.7170 2.9592 0.3402
Cd 13.2834 5.3404 -2.0409
Cd 0.3402 1.7170 2.9592
Cd 4.6599 -2.0409 6.7171
Cd 10.3405 8.2832 -2.9592
Cd 4.6599 2.0409 3.2831
Cd 3.2831 4.6599 2.0409
Cd 11.7172 7.0410 -0.3402
Cd 8.2832 -2.9592 10.3405
Cd 6.7171 -4.6599 12.0411
Cd 2.0409 3.2831 4.6599
Cd 2.9592 -0.3402 8.2832
Cd 2.9592 10.3405 -1.7170
Cd 12.0411 3.2831 5.3404
Cd 4.6599 12.0411 -3.2831
Cd 10.3405 1.7170 7.0410
Cd -0.3402 8.2832 2.9592
Cd 5.3404 -2.0409 13.2834
Cd -2.0409 6.7171 4.6599
Cd 7.0410 -0.3402 11.7172
Cd 7.0410 10.3405 1.7170
Cd 7.9594 6.7171 5.3404
Cd 3.2831 14.6601 -2.0409
Cd 1.7170 12.9595 -0.3402
Cd -1.7170 2.9592 10.3405
Cd 6.7171 5.3404 7.9594
Cd 5.3404 7.9594 6.7171
Cd -0.3402 1.7170 12.9595
Cd 5.3404 12.0411 3.2831
Cd 9.6600 8.2832 7.0410
Cd -3.2831 4.6599 12.0411
Cd 8.2832 7.0410 9.6600
Cd 1.7170 7.0410 10.3405
Cd 3.2831 5.3404 12.0411
Cd -2.0409 3.2831 14.6601
Cd 7.0410 9.6600 8.2832
Cd -2.0409 13.2834 5.3404
Cd -2.9592 10.3405 8.2832
Cd -4.6599 12.0411 6.7171
Cd -0.3402 11.7172 7.0410
```

* crystal system: cubic
* electronic total energy: -0.9809 eV per atom
* formation energy from the elements: 0.16 eV per atom

***

The following is a PBE calculation of a relaxed ErPu2Cd6 crystal, from the Alexandria database.

```
9
Lattice="4.4067 2.5442 3.2370 -4.4067 2.5442 3.2370 0.0000 -5.0884 3.2370" Properties=species:S:1:pos:R:3 pbc="T T T"
Er 0.0000 0.0000 0.0000
Pu 0.0000 0.0000 3.3261
Pu 0.0000 0.0000 6.3849
Cd -1.4799 -2.5633 4.8555
Cd -2.9599 0.0000 4.8555
Cd 1.4799 -2.5633 4.8555
Cd -1.4799 2.5633 4.8555
Cd 2.9599 0.0000 4.8555
Cd 1.4799 2.5633 4.8555
```

* crystal system: trigonal
* electronic total energy: -4.4509 eV per atom
* formation energy from the elements: -0.15 eV per atom

***

The following is a PBE calculation of a relaxed Er12ZnCu6 crystal, from the Alexandria database.

```
19
Lattice="-4.8495 4.8495 4.8495 4.8495 -4.8495 4.8495 4.8495 4.8495 -4.8495" Properties=species:S:1:pos:R:3 pbc="T T T"
Er 4.8495 3.0246 -2.0087
Er 2.8409 0.0000 1.8250
Er 6.8582 0.0000 1.8250
Er 1.8250 2.8409 0.0000
Er 3.0246 -2.0087 4.8495
Er 0.0000 1.8250 2.8409
Er 4.8495 3.0246 2.0087
Er 1.8250 6.8582 0.0000
Er 3.0246 2.0087 4.8495
Er -2.0087 4.8495 3.0246
Er 2.0087 4.8495 3.0246
Er 0.0000 1.8250 6.8582
Zn 0.0000 0.0000 0.0000
Cu 4.8495 1.2179 0.0000
Cu 4.8495 0.0000 3.6316
Cu 3.6316 4.8495 0.0000
Cu 1.2179 0.0000 4.8495
Cu 0.0000 4.8495 1.2179
Cu 0.0000 3.6316 4.8495
```

* crystal system: cubic
* electronic total energy: -4.4186 eV per atom
* formation energy from the elements: -0.18 eV per atom

***

The following is a PBE calculation of a relaxed DyErTm2 crystal, from the Alexandria database.

```
4
Lattice="0.0000 3.9527 3.9527 3.9527 0.0000 3.9527 3.9527 3.9527 0.0000" Properties=species:S:1:pos:R:3 pbc="T T T"
Dy 0.0000 0.0000 0.0000
Er 3.9527 3.9527 3.9527
Tm 1.9764 1.9764 1.9764
Tm 5.9291 5.9291 5.9291
```

* crystal system: cubic
* electronic total energy: -4.3885 eV per atom
* formation energy from the elements: 0.14 eV per atom
* relative energy among the computed polymorphs: 136.0 meV per atom

***

The following is a PBE calculation of a relaxed Sc5AlIr4 crystal, from the Alexandria database.

```
10
Lattice="3.2659 0.0000 0.0000 0.0000 3.2659 0.0000 0.0000 0.0000 16.2437" Properties=species:S:1:pos:R:3 pbc="T T T"
Sc 0.0000 0.0000 0.0000
Sc 0.0000 0.0000 3.1900
Sc 0.0000 0.0000 6.3444
Sc 0.0000 0.0000 9.8992
Sc 0.0000 0.0000 13.0536
Al 1.6329 1.6329 8.1218
Ir 1.6329 1.6329 1.6005
Ir 1.6329 1.6329 4.8300
Ir 1.6329 1.6329 11.4136
Ir 1.6329 1.6329 14.6431
```

* crystal system: tetragonal
* electronic total energy: -7.9896 eV per atom
* formation energy from the elements: -0.91 eV per atom

***

The following is a PBE calculation of a relaxed TcPbS2N crystal, from the Alexandria database.

```
5
Lattice="5.2153 0.0000 0.0000 0.0000 5.2153 0.0000 0.0000 0.0000 4.1845" Properties=species:S:1:pos:R:3 pbc="T T T"
Tc 0.0000 0.0000 0.0000
Pb 2.6077 2.6077 2.0922
S 0.0000 2.6077 2.0922
S 2.6077 0.0000 2.0922
N 2.6077 2.6077 0.0000
```

* crystal system: tetragonal
* electronic total energy: -4.4722 eV per atom
* energy relative to the elements, uncorrected: 1.659 eV per atom
* relative energy among the computed polymorphs: 1634.8 meV per atom